# 1
TaZn4Pt: relaxed, GGA-PBE.

- Symmetry: No. 216
- Crystal system: cubic
- Energy of formation: 0.024 eV/atom

The structure in POSCAR format:
```
TaZn4Pt
1.0
0.000 3.541 3.541
3.541 0.000 3.541
3.541 3.541 0.000
Ta Zn Pt
1 4 1
Cartesian
0.000 0.000 0.000 Ta
4.431 2.651 4.431 Zn
4.431 4.431 2.651 Zn
2.651 4.431 4.431 Zn
2.651 2.651 2.651 Zn
5.311 5.311 5.311 Pt
```

=====

# 2
PrBi2AuO4: relaxed, GGA-PBE.

- Symmetry: No. 123
- Crystal system: tetragonal
- Formation energy without anion corrections: -1.644 eV per atom

The structure in POSCAR format:
```
PrBi2AuO4
1.0
-0.325 3.962 0.005
-0.838 -0.064 -3.886
-8.986 -0.740 1.950
O Bi Au Pr
4 2 1 1
Cartesian
-7.952 -0.653 -0.308 O
-1.873 -0.152 -1.627 O
-1.616 1.861 0.318 O
-7.695 1.361 1.637 O
-3.114 1.740 -1.391 Bi
-7.036 1.417 -0.540 Bi
-4.493 -0.370 0.975 Au
0.000 0.000 0.000 Pr
```

=====

# 3
Ba2MgGa12Pt3: relaxed, GGA-PBE.

- Symmetry: No. 166
- Crystal system: trigonal
- Energy of formation: -0.199 eV/atom

The structure in POSCAR format:
```
Ba2MgGa12Pt3
1.0
8.000 -0.872 -0.618
3.193 7.387 -0.618
3.193 1.858 7.176
Ga Pt Ba Mg
12 3 2 1
Cartesian
5.564 6.614 4.691 Ga
6.102 0.656 0.465 Ga
5.886 3.426 6.007 Ga
10.802 3.392 5.474 Ga
3.584 4.982 0.465 Ga
8.821 1.760 1.248 Ga
8.284 7.718 5.474 Ga
8.499 4.947 -0.067 Ga
3.584 2.086 4.548 Ga
5.886 6.802 1.248 Ga
8.499 1.572 4.691 Ga
10.802 6.288 1.391 Ga
4.000 -0.436 -0.309 Pt
1.596 0.929 3.588 Pt
1.596 3.693 -0.309 Pt
5.617 3.270 2.319 Ba
8.769 5.104 3.620 Ba
0.000 0.000 0.000 Mg
```

=====

# 4
TmNpTlO6: relaxed, GGA-PBE.

- Symmetry: No. 163
- Crystal system: trigonal
- Formation energy without anion corrections: -2.361 eV per atom

The structure in POSCAR format:
```
TmNpTlO6
1.0
5.582 0.000 0.000
-2.791 4.834 0.000
0.000 0.000 9.760
Tl O Np Tm
2 12 2 2
Cartesian
0.000 3.223 2.440 Tl
2.791 1.611 7.320 Tl
-1.729 3.282 8.494 O
3.707 0.143 3.614 O
3.605 3.138 3.614 O
4.520 1.553 1.267 O
1.977 3.138 1.267 O
1.875 0.143 1.267 O
0.916 4.691 8.494 O
1.062 1.553 3.614 O
-0.814 1.696 6.147 O
0.814 1.696 8.494 O
-0.916 4.691 6.147 O
1.729 3.282 6.147 O
2.791 1.611 2.440 Np
0.000 3.223 7.320 Np
0.000 0.000 4.880 Tm
0.000 0.000 0.000 Tm
```

=====

| no. | V (Å³/atom) |
| --- | --- |
| 1 | 14.80 |
| 2 | 18.23 |
| 3 | 25.88 |
| 4 | 14.63 |